Below is crystalline ZrCr2Tc at its relaxed geometry, with properties calculated at the PBE level.

Unit cell a=5.3264 b=8.5490 c=2.7744 alpha=90.00 beta=110.08 gamma=90.00
Closest atoms and distances in Å follow each position.
Space group C2/m (No. 12)
Unique sites:
Zr 0.0000 0.0000 0.0000 [2 per cell]  4 Cr 2.65, 2 Tc 2.66, 2 Zr 2.77
Cr 0.2500 0.2500 0.5000 [4 per cell]  2 Zr 2.65, 2 Tc 2.65, 4 Cr 2.66-2.77
Tc 0.0000 0.5000 0.0000 [2 per cell]  4 Cr 2.65, 2 Zr 2.66, 2 Tc 2.77

Summary:
formation energy from the elements	192	meV/atom
raw total energy	-9.348	eV/atom
distance to the lowest polymorph of the same formula	127	meV per atom
DOS at the Fermi energy	0.774	states/eV per atom

Below is crystalline Sr2ZrFe2 at its relaxed geometry, with properties calculated at the PBE level.

Unit cell a=5.1932 b=5.1932 c=9.6902 alpha=90.00 beta=90.00 gamma=90.00
Closest atoms and distances in Å follow each position.
Space group I4/mmm (No. 139)
Unique sites:
Sr 0.0000 0.0000 0.1494 [4 per cell]  4 Fe 2.77, 1 Sr 2.89
Zr 0.0000 0.0000 0.5000 [2 per cell]  2 Sr 3.40, 8 Fe 3.55
Fe 0.0000 0.5000 0.2500 [4 per cell]  4 Sr 2.77

Summary:
formation energy from the elements	1291	meV/atom
raw total energy	-4.476	eV/atom
DOS at the Fermi energy	1.789	states/eV per atom

Below is crystalline LaScAl2Mo at its relaxed geometry, with properties calculated at the PBE level.

Unit cell a=5.2258 b=5.2258 c=5.0335 alpha=90.00 beta=90.00 gamma=90.00
Closest atoms and distances in Å follow each position.
Space group P4/mmm (No. 123)
Unique sites:
La 0.0000 0.0000 0.0000 [1 per cell]  2 Sc 2.52, 4 Al 2.61
Sc 0.0000 0.0000 0.5000 [1 per cell]  2 La 2.52
Al 0.0000 0.5000 0.0000 [2 per cell]  2 La 2.61
Mo 0.5000 0.5000 0.5000 [1 per cell]  8 Al 3.63, 4 Sc 3.70

Summary:
formation energy from the elements	1974	meV/atom
raw total energy	-3.941	eV/atom
DOS at the Fermi energy	1.548	states/eV per atom